The following is a SCAN calculation of a PBEsol-optimized structure of InHgMo2, from Alexandria via LeMat-Bulk.

a b c (Å): 3.4023 4.4319 4.6317
angles (deg): 90.00 90.00 90.00
Element x y z (fractional)
1 In 0.0000 0.0000 0.0000
2 Hg 0.5000 0.5000 0.0000
3 Mo 0.0000 0.5000 0.5000
4 Mo 0.5000 0.0000 0.5000

DFT formation energy (eV/atom): 0.50
DFT total energy (eV/cell): -169.32
SG: Pmmm (47)
Total magnetic moment (μB/cell): 0.00

The following is a SCAN calculation of a PBEsol-optimized structure of InHg2Mo, from Alexandria via LeMat-Bulk.

a b c (Å): 2.9291 2.9291 9.2718
angles (deg): 90.00 90.00 90.00
Element x y z (fractional)
1 In 0.0000 0.0000 0.0000
2 Hg 0.0000 0.0000 0.5527
3 Hg 0.5000 0.5000 0.2779
4 Mo 0.5000 0.5000 0.7753

DFT formation energy (eV/atom): 0.44
DFT total energy (eV/cell): -202.85
SG: P4mm (99)
Total magnetic moment (μB/cell): 0.00

The following is a SCAN calculation of a PBEsol-optimized structure of InHg2Mo, from Alexandria via LeMat-Bulk.

a b c (Å): 5.6708 5.6708 5.2562
angles (deg): 115.99 115.99 30.77
Element x y z (fractional)
1 In 0.0000 0.0000 0.0000
2 Hg 0.5292 0.5292 0.5260
3 Hg 0.7671 0.7671 0.4240
4 Mo 0.2622 0.2622 0.9494

DFT formation energy (eV/atom): 0.39
DFT total energy (eV/cell): -203.03
SG: Cm (8)
Total magnetic moment (μB/cell): 0.00

The following is a SCAN calculation of a PBEsol-optimized structure of InHgMo2, from Alexandria via LeMat-Bulk.

a b c (Å): 2.9063 4.3151 5.8597
angles (deg): 90.00 103.87 90.00
Element x y z (fractional)
1 In 0.0000 0.0000 0.0000
2 Hg 0.1716 0.5000 0.7255
3 Mo 0.5180 0.0000 0.4683
4 Mo 0.6737 0.5000 0.2547

DFT formation energy (eV/atom): 0.42
DFT total energy (eV/cell): -169.64
SG: Pm (6)
Total magnetic moment (μB/cell): 0.00

The following is a SCAN calculation of a PBEsol-optimized structure of InHgMo2, from Alexandria via LeMat-Bulk.

a b c (Å): 5.4159 5.4159 5.4159
angles (deg): 144.58 127.95 64.53
Element x y z (fractional)
1 In 0.0000 0.0000 0.0000
2 Hg 0.7340 0.2340 0.5000
3 Mo 0.2655 0.7655 0.5000
4 Mo 0.4683 0.4683 0.0000

DFT formation energy (eV/atom): 0.41
DFT total energy (eV/cell): -169.69
SG: Imm2 (44)
Total magnetic moment (μB/cell): 0.00

The following is a SCAN calculation of a PBEsol-optimized structure of InHgMo2, from Alexandria via LeMat-Bulk.

a b c (Å): 5.0229 5.0229 5.0229
angles (deg): 131.70 131.70 70.70
Element x y z (fractional)
1 In 0.0000 0.0000 0.0000
2 Hg 0.2500 0.7500 0.5000
3 Mo 0.5000 0.5000 0.0000
4 Mo 0.7500 0.2500 0.5000

DFT formation energy (eV/atom): 0.51
DFT total energy (eV/cell): -169.28
SG: I-4m2 (119)
Total magnetic moment (μB/cell): 0.00

The following is a SCAN calculation of a PBEsol-optimized structure of InHgN3, from Alexandria via LeMat-Bulk.

a b c (Å): 4.2157 4.2157 4.2157
angles (deg): 90.00 90.00 90.00
Element x y z (fractional)
1 In 0.0000 0.0000 0.0000
2 Hg 0.5000 0.5000 0.5000
3 N 0.0000 0.5000 0.5000
4 N 0.5000 0.0000 0.5000
5 N 0.5000 0.5000 0.0000

Uncorrected formation energy (eV per atom): 2.28
DFT total energy (eV/cell): -118.00
SG: Pm-3m (221)
Total magnetic moment (μB/cell): 4.37

The following is a SCAN calculation of a PBEsol-optimized structure of In2HgN, from Alexandria via LeMat-Bulk.

a b c (Å): 4.7816 4.7816 4.7816
angles (deg): 60.00 60.00 60.00
Element x y z (fractional)
1 In 0.2500 0.2500 0.2500
2 In 0.7500 0.7500 0.7500
3 Hg 0.0000 0.0000 0.0000
4 N 0.5000 0.5000 0.5000

Uncorrected formation energy (eV per atom): 0.91
DFT total energy (eV/cell): -140.59
SG: Fm-3m (225)
Total magnetic moment (μB/cell): 1.04

The following is a SCAN calculation of a PBEsol-optimized structure of InHg2N, from Alexandria via LeMat-Bulk.

a b c (Å): 4.7952 4.7952 4.7952
angles (deg): 60.00 60.00 60.00
Element x y z (fractional)
1 In 0.0000 0.0000 0.0000
2 Hg 0.2500 0.2500 0.2500
3 Hg 0.7500 0.7500 0.7500
4 N 0.5000 0.5000 0.5000

Uncorrected formation energy (eV per atom): 1.06
DFT total energy (eV/cell): -174.76
SG: Fm-3m (225)
Total magnetic moment (μB/cell): 1.77

The following is a SCAN calculation of a PBEsol-optimized structure of InHgTe2N, from Alexandria via LeMat-Bulk.

a b c (Å): 5.8498 5.8498 3.9439
angles (deg): 90.00 90.00 90.00
Element x y z (fractional)
1 In 0.0000 0.0000 0.0000
2 Hg 0.5000 0.5000 0.5000
3 Te 0.0000 0.5000 0.0000
4 Te 0.5000 0.0000 0.0000
5 N 0.0000 0.0000 0.5000

Uncorrected formation energy (eV per atom): 0.82
DFT total energy (eV/cell): -181.23
SG: P4/mmm (123)
Total magnetic moment (μB/cell): 2.72

The following is a SCAN calculation of a PBEsol-optimized structure of Na2In2Hg, from Alexandria via LeMat-Bulk.

a b c (Å): 7.3077 7.3077 5.0696
angles (deg): 90.00 90.00 90.00
Element x y z (fractional)
1 Na 0.1700 0.3300 0.0000
2 Na 0.3300 0.8300 0.0000
3 Na 0.6700 0.1700 0.0000
4 Na 0.8300 0.6700 0.0000
5 In 0.1375 0.6375 0.5000
6 In 0.3625 0.1375 0.5000
7 In 0.6375 0.8625 0.5000
8 In 0.8625 0.3625 0.5000
9 Hg 0.0000 0.0000 0.5000
10 Hg 0.5000 0.5000 0.5000

DFT formation energy (eV/atom): -0.18
DFT total energy (eV/cell): -288.56
SG: P4/mbm (127)
Total magnetic moment (μB/cell): 0.00

The following is a SCAN calculation of a PBEsol-optimized structure of Na2InHg2, from Alexandria via LeMat-Bulk.

a b c (Å): 8.0900 8.0900 3.7220
angles (deg): 90.00 90.00 90.00
Element x y z (fractional)
1 Na 0.1678 0.3322 0.0000
2 Na 0.3322 0.8322 0.0000
3 Na 0.6678 0.1678 0.0000
4 Na 0.8322 0.6678 0.0000
5 In 0.0000 0.0000 0.5000
6 In 0.5000 0.5000 0.5000
7 Hg 0.1313 0.6313 0.5000
8 Hg 0.3687 0.1313 0.5000
9 Hg 0.6313 0.8687 0.5000
10 Hg 0.8687 0.3687 0.5000

DFT formation energy (eV/atom): -0.26
DFT total energy (eV/cell): -358.89
SG: P4/mbm (127)
Total magnetic moment (μB/cell): 0.00

Q: Number 2 is which compound?
A: InHg2Mo

Q: Which value of total magnetic moment does entry 12 give?
A: 0.00 μB/cell